A plane-wave DFT calculation with GGA+U was carried out for a relaxed structure of RbTi3FeO8.

Lattice parameters (Å, degrees): 7.384 7.384 10.250 133.39 133.39 23.60
Fractional positions:
Rb 0.000 0.000 0.000
Ti 0.334 0.334 0.488
Ti 0.661 0.661 0.515
Ti 0.842 0.842 0.175
Fe 0.150 0.150 0.815
O 0.039 0.039 0.375
O 0.291 0.291 0.636
O 0.333 0.333 0.295
O 0.350 0.350 0.059
O 0.658 0.658 0.959
O 0.667 0.667 0.704
O 0.705 0.705 0.362
O 0.955 0.955 0.624

Output
Final energy (eV per cell): -103.83
Total moment (μB per cell): 4.989